a:
A plane-wave DFT calculation with GGA-PBE was carried out for crystalline Ho2HfZr at its relaxed geometry.

Calculated values
Density of states at the Fermi level (states/eV per cell): 4.82

Cell and atoms, written as POSCAR:
```
Ho2HfZr
1.0
4.804 0.000 0.000
0.000 4.658 0.000
0.000 0.000 4.658
Hf Ho Zr
1 2 1
direct
0.500 0.000 0.000
0.000 0.000 0.500
0.000 0.500 0.000
0.500 0.500 0.500
```

---

b:
A plane-wave DFT calculation with GGA-PBE was carried out for crystalline Ho2HfZr at its relaxed geometry.

Calculated values
Density of states at the Fermi level (states/eV per cell): 5.49

Cell and atoms, written as POSCAR:
```
Ho2HfZr
1.0
3.343 0.000 0.000
1.672 2.895 0.000
1.672 0.965 10.791
Ho Hf Zr
2 1 1
direct
0.083 0.083 0.752
0.251 0.251 0.248
0.666 0.666 0.001
0.500 0.500 0.499
```

---

Of them, the most stable is b and the least stable is a.

---

a:
A plane-wave DFT calculation with GGA-PBE was carried out for crystalline HfInI2 at its relaxed geometry.

Calculated values
Density of states at the Fermi level (states/eV per cell): 3.10

Cell and atoms, written as POSCAR:
```
HfInI2
1.0
0.000 3.765 3.765
3.765 0.000 3.765
3.765 3.765 0.000
I Hf In
2 1 1
direct
0.250 0.250 0.250
0.750 0.750 0.750
0.500 0.500 0.500
0.000 0.000 0.000
```

---

b:
A plane-wave DFT calculation with GGA-PBE was carried out for crystalline HfInI2 at its relaxed geometry.

Calculated values
Density of states at the Fermi level (states/eV per cell): 8.71

Cell and atoms, written as POSCAR:
```
HfInI2
1.0
10.183 0.000 0.000
0.000 10.183 0.000
5.092 5.092 2.970
I Hf In
4 2 2
direct
0.768 0.125 0.250
0.982 0.625 0.250
0.375 0.232 0.750
0.875 0.018 0.750
0.000 0.000 0.000
0.750 0.250 0.500
0.500 0.500 0.000
0.250 0.750 0.500
```

---

Of them, the most stable is b and the least stable is a.